[1]
# Mn2AlPdI PBE optimized geometry
data_Mn2AlPdI
_cell_length_a 4.7273
_cell_length_b 4.7273
_cell_length_c 5.5134
_cell_angle_alpha 90.00
_cell_angle_beta 90.00
_cell_angle_gamma 90.00
_symmetry_space_group_name_H-M 'P 1'
_symmetry_Int_Tables_number 1
_symmetry_space_group_name_Hall 'P 1'
loop_
_atom_site_label
_atom_site_type_symbol
_atom_site_fract_x
_atom_site_fract_y
_atom_site_fract_z
Mn1 Mn 0.0000 0.5000 0.0000
Mn2 Mn 0.5000 0.0000 0.0000
Al1 Al 0.0000 0.0000 0.0000
Pd1 Pd 0.5000 0.5000 0.5000
I1 I 0.0000 0.0000 0.5000
# Total DFT energy (no corrections): -4.71 eV per atom
# Calculated density: 4.99 Mg/m³
# Space-group type: No. 123

***

[2]
# Rb2MnAlI6 PBE optimized geometry
data_Rb2MnAlI6
_cell_length_a 8.2256
_cell_length_b 8.2256
_cell_length_c 8.2256
_cell_angle_alpha 60.00
_cell_angle_beta 60.00
_cell_angle_gamma 60.00
_symmetry_space_group_name_H-M 'P 1'
_symmetry_Int_Tables_number 1
_symmetry_space_group_name_Hall 'P 1'
loop_
_atom_site_label
_atom_site_type_symbol
_atom_site_fract_x
_atom_site_fract_y
_atom_site_fract_z
Rb1 Rb 0.2500 0.2500 0.2500
Rb2 Rb 0.7500 0.7500 0.7500
Mn1 Mn 0.0000 0.0000 0.0000
Al1 Al 0.5000 0.5000 0.5000
I1 I 0.2489 0.2489 0.7511
I2 I 0.2489 0.7511 0.2489
I3 I 0.2489 0.7511 0.7511
I4 I 0.7511 0.2489 0.2489
I5 I 0.7511 0.2489 0.7511
I6 I 0.7511 0.7511 0.2489
# Total DFT energy (no corrections): -3.22 eV per atom
# Calculated density: 4.28 Mg/m³
# Space-group type: No. 225

***

[3]
# MnAlSeI2 PBE optimized geometry
data_MnAlSeI2
_cell_length_a 6.0173
_cell_length_b 6.0173
_cell_length_c 5.1635
_cell_angle_alpha 90.00
_cell_angle_beta 90.00
_cell_angle_gamma 90.00
_symmetry_space_group_name_H-M 'P 1'
_symmetry_Int_Tables_number 1
_symmetry_space_group_name_Hall 'P 1'
loop_
_atom_site_label
_atom_site_type_symbol
_atom_site_fract_x
_atom_site_fract_y
_atom_site_fract_z
Mn1 Mn 0.0000 0.0000 0.0000
Al1 Al 0.5000 0.5000 0.0000
Se1 Se 0.5000 0.5000 0.5000
I1 I 0.0000 0.5000 0.5000
I2 I 0.5000 0.0000 0.5000
# Total DFT energy (no corrections): -3.21 eV per atom
# Calculated density: 3.68 Mg/m³
# Space-group type: No. 123

***

[4]
# MnAlTeI2 PBE optimized geometry
data_MnAlTeI2
_cell_length_a 5.4883
_cell_length_b 5.4883
_cell_length_c 5.5487
_cell_angle_alpha 90.00
_cell_angle_beta 90.00
_cell_angle_gamma 90.00
_symmetry_space_group_name_H-M 'P 1'
_symmetry_Int_Tables_number 1
_symmetry_space_group_name_Hall 'P 1'
loop_
_atom_site_label
_atom_site_type_symbol
_atom_site_fract_x
_atom_site_fract_y
_atom_site_fract_z
Mn1 Mn 0.0000 0.0000 0.0000
Al1 Al 0.5000 0.5000 0.5000
Te1 Te 0.5000 0.5000 0.0000
I1 I 0.0000 0.5000 0.5000
I2 I 0.5000 0.0000 0.5000
# Total DFT energy (no corrections): -3.52 eV per atom
# Calculated density: 4.60 Mg/m³
# Space-group type: No. 123

***

[5]
# MnAlTeI2 PBE optimized geometry
data_MnAlTeI2
_cell_length_a 5.6267
_cell_length_b 5.6267
_cell_length_c 4.8833
_cell_angle_alpha 90.00
_cell_angle_beta 90.00
_cell_angle_gamma 90.00
_symmetry_space_group_name_H-M 'P 1'
_symmetry_Int_Tables_number 1
_symmetry_space_group_name_Hall 'P 1'
loop_
_atom_site_label
_atom_site_type_symbol
_atom_site_fract_x
_atom_site_fract_y
_atom_site_fract_z
Mn1 Mn 0.0000 0.0000 0.0000
Al1 Al 0.5000 0.5000 0.5000
Te1 Te 0.0000 0.0000 0.5000
I1 I 0.0000 0.5000 0.0000
I2 I 0.5000 0.0000 0.0000
# Total DFT energy (no corrections): -3.40 eV per atom
# Calculated density: 4.98 Mg/m³
# Space-group type: No. 123

***

[6]
# MnAl2VI PBE optimized geometry
data_MnAl2VI
_cell_length_a 5.1989
_cell_length_b 5.1989
_cell_length_c 4.0403
_cell_angle_alpha 90.00
_cell_angle_beta 90.00
_cell_angle_gamma 90.00
_symmetry_space_group_name_H-M 'P 1'
_symmetry_Int_Tables_number 1
_symmetry_space_group_name_Hall 'P 1'
loop_
_atom_site_label
_atom_site_type_symbol
_atom_site_fract_x
_atom_site_fract_y
_atom_site_fract_z
Mn1 Mn 0.0000 0.0000 0.0000
Al1 Al 0.0000 0.5000 0.5000
Al2 Al 0.5000 0.0000 0.5000
V1 V 0.0000 0.0000 0.5000
I1 I 0.5000 0.5000 0.0000
# Total DFT energy (no corrections): -4.55 eV per atom
# Calculated density: 4.36 Mg/m³
# Space-group type: No. 123

***

[7]
# AlMoI3 PBE optimized geometry
data_AlMoI3
_cell_length_a 5.6149
_cell_length_b 5.6149
_cell_length_c 5.6149
_cell_angle_alpha 90.00
_cell_angle_beta 90.00
_cell_angle_gamma 90.00
_symmetry_space_group_name_H-M 'P 1'
_symmetry_Int_Tables_number 1
_symmetry_space_group_name_Hall 'P 1'
loop_
_atom_site_label
_atom_site_type_symbol
_atom_site_fract_x
_atom_site_fract_y
_atom_site_fract_z
Al1 Al 0.0000 0.0000 0.0000
Mo1 Mo 0.5000 0.5000 0.5000
I1 I 0.0000 0.0000 0.5000
I2 I 0.0000 0.5000 0.0000
I3 I 0.5000 0.0000 0.0000
# Total DFT energy (no corrections): -3.17 eV per atom
# Calculated density: 4.72 Mg/m³
# Space-group type: No. 221

***

[8]
# AlMoI2 PBE optimized geometry
data_AlMoI2
_cell_length_a 7.0451
_cell_length_b 7.0451
_cell_length_c 7.0451
_cell_angle_alpha 90.00
_cell_angle_beta 90.00
_cell_angle_gamma 90.00
_symmetry_space_group_name_H-M 'P 1'
_symmetry_Int_Tables_number 1
_symmetry_space_group_name_Hall 'P 1'
loop_
_atom_site_label
_atom_site_type_symbol
_atom_site_fract_x
_atom_site_fract_y
_atom_site_fract_z
Al1 Al 0.0000 0.0000 0.0000
Al2 Al 0.0000 0.5000 0.5000
Al3 Al 0.5000 0.0000 0.5000
Al4 Al 0.5000 0.5000 0.0000
Mo1 Mo 0.0000 0.0000 0.5000
Mo2 Mo 0.0000 0.5000 0.0000
Mo3 Mo 0.5000 0.0000 0.0000
Mo4 Mo 0.5000 0.5000 0.5000
I1 I 0.2500 0.2500 0.2500
I2 I 0.2500 0.2500 0.7500
I3 I 0.2500 0.7500 0.2500
I4 I 0.2500 0.7500 0.7500
I5 I 0.7500 0.2500 0.2500
I6 I 0.7500 0.2500 0.7500
I7 I 0.7500 0.7500 0.2500
I8 I 0.7500 0.7500 0.7500
# Total DFT energy (no corrections): -3.55 eV per atom
# Calculated density: 7.16 Mg/m³
# Space-group type: No. 225

***

[9]
# AlMoI2 PBE optimized geometry
data_AlMoI2
_cell_length_a 10.0639
_cell_length_b 10.0639
_cell_length_c 5.1319
_cell_angle_alpha 90.00
_cell_angle_beta 90.00
_cell_angle_gamma 90.00
_symmetry_space_group_name_H-M 'P 1'
_symmetry_Int_Tables_number 1
_symmetry_space_group_name_Hall 'P 1'
loop_
_atom_site_label
_atom_site_type_symbol
_atom_site_fract_x
_atom_site_fract_y
_atom_site_fract_z
Al1 Al 0.0000 0.0000 0.0000
Al2 Al 0.0000 0.5000 0.2500
Al3 Al 0.5000 0.0000 0.7500
Al4 Al 0.5000 0.5000 0.5000
Mo1 Mo 0.0000 0.0000 0.5000
Mo2 Mo 0.0000 0.5000 0.7500
Mo3 Mo 0.5000 0.0000 0.2500
Mo4 Mo 0.5000 0.5000 0.0000
I1 I 0.1006 0.2500 0.6250
I2 I 0.2500 0.6006 0.8750
I3 I 0.2500 0.8994 0.3750
I4 I 0.3994 0.2500 0.1250
I5 I 0.6006 0.7500 0.1250
I6 I 0.7500 0.1006 0.3750
I7 I 0.7500 0.3994 0.8750
I8 I 0.8994 0.7500 0.6250
# Total DFT energy (no corrections): -3.99 eV per atom
# Calculated density: 4.81 Mg/m³
# Space-group type: No. 122

***

[10]
# Al2MoI PBE optimized geometry
data_Al2MoI
_cell_length_a 7.7321
_cell_length_b 7.7321
_cell_length_c 5.7826
_cell_angle_alpha 90.00
_cell_angle_beta 90.00
_cell_angle_gamma 90.00
_symmetry_space_group_name_H-M 'P 1'
_symmetry_Int_Tables_number 1
_symmetry_space_group_name_Hall 'P 1'
loop_
_atom_site_label
_atom_site_type_symbol
_atom_site_fract_x
_atom_site_fract_y
_atom_site_fract_z
Al1 Al 0.2128 0.7500 0.1250
Al2 Al 0.2500 0.2128 0.8750
Al3 Al 0.2500 0.2872 0.3750
Al4 Al 0.2872 0.7500 0.6250
Al5 Al 0.7128 0.2500 0.6250
Al6 Al 0.7500 0.7128 0.3750
Al7 Al 0.7500 0.7872 0.8750
Al8 Al 0.7872 0.2500 0.1250
Mo1 Mo 0.0000 0.0000 0.0000
Mo2 Mo 0.0000 0.5000 0.2500
Mo3 Mo 0.5000 0.0000 0.7500
Mo4 Mo 0.5000 0.5000 0.5000
I1 I 0.0000 0.0000 0.5000
I2 I 0.0000 0.5000 0.7500
I3 I 0.5000 0.0000 0.2500
I4 I 0.5000 0.5000 0.0000
# Total DFT energy (no corrections): -4.18 eV per atom
# Calculated density: 5.32 Mg/m³
# Space-group type: No. 122

***

[11]
# AlMo2I PBE optimized geometry
data_AlMo2I
_cell_length_a 6.4754
_cell_length_b 6.4754
_cell_length_c 6.4754
_cell_angle_alpha 90.00
_cell_angle_beta 90.00
_cell_angle_gamma 90.00
_symmetry_space_group_name_H-M 'P 1'
_symmetry_Int_Tables_number 1
_symmetry_space_group_name_Hall 'P 1'
loop_
_atom_site_label
_atom_site_type_symbol
_atom_site_fract_x
_atom_site_fract_y
_atom_site_fract_z
Al1 Al 0.0000 0.0000 0.0000
Al2 Al 0.0000 0.5000 0.5000
Al3 Al 0.5000 0.0000 0.5000
Al4 Al 0.5000 0.5000 0.0000
Mo1 Mo 0.2500 0.2500 0.2500
Mo2 Mo 0.2500 0.2500 0.7500
Mo3 Mo 0.2500 0.7500 0.2500
Mo4 Mo 0.2500 0.7500 0.7500
Mo5 Mo 0.7500 0.2500 0.2500
Mo6 Mo 0.7500 0.2500 0.7500
Mo7 Mo 0.7500 0.7500 0.2500
Mo8 Mo 0.7500 0.7500 0.7500
I1 I 0.0000 0.0000 0.5000
I2 I 0.0000 0.5000 0.0000
I3 I 0.5000 0.0000 0.0000
I4 I 0.5000 0.5000 0.5000
# Total DFT energy (no corrections): -6.06 eV per atom
# Calculated density: 8.46 Mg/m³
# Space-group type: No. 225

***

[12]
# AlMoI3 PBE optimized geometry
data_AlMoI3
_cell_length_a 5.7495
_cell_length_b 5.7495
_cell_length_c 5.7495
_cell_angle_alpha 90.00
_cell_angle_beta 90.00
_cell_angle_gamma 90.00
_symmetry_space_group_name_H-M 'P 1'
_symmetry_Int_Tables_number 1
_symmetry_space_group_name_Hall 'P 1'
loop_
_atom_site_label
_atom_site_type_symbol
_atom_site_fract_x
_atom_site_fract_y
_atom_site_fract_z
Al1 Al 0.0000 0.0000 0.0000
Mo1 Mo 0.5000 0.5000 0.5000
I1 I 0.0000 0.5000 0.5000
I2 I 0.5000 0.0000 0.5000
I3 I 0.5000 0.5000 0.0000
# Total DFT energy (no corrections): -3.49 eV per atom
# Calculated density: 4.40 Mg/m³
# Space-group type: No. 221

***

[13]
# Al2MoI PBE optimized geometry
data_Al2MoI
_cell_length_a 6.7006
_cell_length_b 6.7006
_cell_length_c 6.7006
_cell_angle_alpha 90.00
_cell_angle_beta 90.00
_cell_angle_gamma 90.00
_symmetry_space_group_name_H-M 'P 1'
_symmetry_Int_Tables_number 1
_symmetry_space_group_name_Hall 'P 1'
loop_
_atom_site_label
_atom_site_type_symbol
_atom_site_fract_x
_atom_site_fract_y
_atom_site_fract_z
Al1 Al 0.2500 0.2500 0.2500
Al2 Al 0.2500 0.2500 0.7500
Al3 Al 0.2500 0.7500 0.2500
Al4 Al 0.2500 0.7500 0.7500
Al5 Al 0.7500 0.2500 0.2500
Al6 Al 0.7500 0.2500 0.7500
Al7 Al 0.7500 0.7500 0.2500
Al8 Al 0.7500 0.7500 0.7500
Mo1 Mo 0.0000 0.0000 0.0000
Mo2 Mo 0.0000 0.5000 0.5000
Mo3 Mo 0.5000 0.0000 0.5000
Mo4 Mo 0.5000 0.5000 0.0000
I1 I 0.0000 0.0000 0.5000
I2 I 0.0000 0.5000 0.0000
I3 I 0.5000 0.0000 0.0000
I4 I 0.5000 0.5000 0.5000
# Total DFT energy (no corrections): -4.05 eV per atom
# Calculated density: 6.11 Mg/m³
# Space-group type: No. 225

***

[14]
# AlMo2I PBE optimized geometry
data_AlMo2I
_cell_length_a 4.1560
_cell_length_b 4.1560
_cell_length_c 18.8047
_cell_angle_alpha 90.00
_cell_angle_beta 90.00
_cell_angle_gamma 90.00
_symmetry_space_group_name_H-M 'P 1'
_symmetry_Int_Tables_number 1
_symmetry_space_group_name_Hall 'P 1'
loop_
_atom_site_label
_atom_site_type_symbol
_atom_site_fract_x
_atom_site_fract_y
_atom_site_fract_z
Al1 Al 0.0000 0.0000 0.0000
Al2 Al 0.0000 0.5000 0.2500
Al3 Al 0.5000 0.0000 0.7500
Al4 Al 0.5000 0.5000 0.5000
Mo1 Mo 0.1819 0.2500 0.1250
Mo2 Mo 0.2500 0.6819 0.3750
Mo3 Mo 0.2500 0.8181 0.8750
Mo4 Mo 0.3181 0.2500 0.6250
Mo5 Mo 0.6819 0.7500 0.6250
Mo6 Mo 0.7500 0.1819 0.8750
Mo7 Mo 0.7500 0.3181 0.3750
Mo8 Mo 0.8181 0.7500 0.1250
I1 I 0.0000 0.0000 0.5000
I2 I 0.0000 0.5000 0.7500
I3 I 0.5000 0.0000 0.2500
I4 I 0.5000 0.5000 0.0000
# Total DFT energy (no corrections): -5.82 eV per atom
# Calculated density: 7.07 Mg/m³
# Space-group type: No. 122

***

[15]
# Al3MoI PBE optimized geometry
data_Al3MoI
_cell_length_a 5.0719
_cell_length_b 5.0719
_cell_length_c 5.0719
_cell_angle_alpha 90.00
_cell_angle_beta 90.00
_cell_angle_gamma 90.00
_symmetry_space_group_name_H-M 'P 1'
_symmetry_Int_Tables_number 1
_symmetry_space_group_name_Hall 'P 1'
loop_
_atom_site_label
_atom_site_type_symbol
_atom_site_fract_x
_atom_site_fract_y
_atom_site_fract_z
Al1 Al 0.0000 0.0000 0.5000
Al2 Al 0.0000 0.5000 0.0000
Al3 Al 0.5000 0.0000 0.0000
Mo1 Mo 0.0000 0.0000 0.0000
I1 I 0.5000 0.5000 0.5000
# Total DFT energy (no corrections): -4.04 eV per atom
# Calculated density: 3.87 Mg/m³
# Space-group type: No. 221

***

[16]
# AlMoI2N PBE optimized geometry
data_AlMoI2N
_cell_length_a 5.7333
_cell_length_b 5.7333
_cell_length_c 3.5307
_cell_angle_alpha 90.00
_cell_angle_beta 90.00
_cell_angle_gamma 90.00
_symmetry_space_group_name_H-M 'P 1'
_symmetry_Int_Tables_number 1
_symmetry_space_group_name_Hall 'P 1'
loop_
_atom_site_label
_atom_site_type_symbol
_atom_site_fract_x
_atom_site_fract_y
_atom_site_fract_z
Al1 Al 0.0000 0.0000 0.0000
Mo1 Mo 0.5000 0.5000 0.5000
I1 I 0.0000 0.5000 0.0000
I2 I 0.5000 0.0000 0.0000
N1 N 0.0000 0.0000 0.5000
# Total DFT energy (no corrections): -4.44 eV per atom
# Calculated density: 5.59 Mg/m³
# Space-group type: No. 123

***

[17]
# AlMoIN2 PBE optimized geometry
data_AlMoIN2
_cell_length_a 4.0190
_cell_length_b 4.0190
_cell_length_c 5.7298
_cell_angle_alpha 90.00
_cell_angle_beta 90.00
_cell_angle_gamma 90.00
_symmetry_space_group_name_H-M 'P 1'
_symmetry_Int_Tables_number 1
_symmetry_space_group_name_Hall 'P 1'
loop_
_atom_site_label
_atom_site_type_symbol
_atom_site_fract_x
_atom_site_fract_y
_atom_site_fract_z
Al1 Al 0.0000 0.0000 0.0000
Mo1 Mo 0.5000 0.5000 0.5000
I1 I 0.5000 0.5000 0.0000
N1 N 0.0000 0.5000 0.5000
N2 N 0.5000 0.0000 0.5000
# Total DFT energy (no corrections): -5.86 eV per atom
# Calculated density: 4.99 Mg/m³
# Space-group type: No. 123

***

[18]
# AlMoI2N PBE optimized geometry
data_AlMoI2N
_cell_length_a 5.7344
_cell_length_b 5.7344
_cell_length_c 3.8612
_cell_angle_alpha 90.00
_cell_angle_beta 90.00
_cell_angle_gamma 90.00
_symmetry_space_group_name_H-M 'P 1'
_symmetry_Int_Tables_number 1
_symmetry_space_group_name_Hall 'P 1'
loop_
_atom_site_label
_atom_site_type_symbol
_atom_site_fract_x
_atom_site_fract_y
_atom_site_fract_z
Al1 Al 0.0000 0.0000 0.0000
Mo1 Mo 0.5000 0.5000 0.5000
I1 I 0.0000 0.5000 0.5000
I2 I 0.5000 0.0000 0.5000
N1 N 0.5000 0.5000 0.0000
# Total DFT energy (no corrections): -4.87 eV per atom
# Calculated density: 5.11 Mg/m³
# Space-group type: No. 123

***

[19]
# AlMoIN2 PBE optimized geometry
data_AlMoIN2
_cell_length_a 3.9227
_cell_length_b 3.9227
_cell_length_c 5.5022
_cell_angle_alpha 90.00
_cell_angle_beta 90.00
_cell_angle_gamma 90.00
_symmetry_space_group_name_H-M 'P 1'
_symmetry_Int_Tables_number 1
_symmetry_space_group_name_Hall 'P 1'
loop_
_atom_site_label
_atom_site_type_symbol
_atom_site_fract_x
_atom_site_fract_y
_atom_site_fract_z
Al1 Al 0.0000 0.0000 0.0000
Mo1 Mo 0.5000 0.5000 0.5000
I1 I 0.0000 0.0000 0.5000
N1 N 0.0000 0.5000 0.0000
N2 N 0.5000 0.0000 0.0000
# Total DFT energy (no corrections): -5.25 eV per atom
# Calculated density: 5.45 Mg/m³
# Space-group type: No. 123